# 1
Na2YCu2: relaxed, PBE.

abc: 7.1700 7.1700 4.6012
angles: 90.00 90.00 90.00
Element x y z (fractional)
Na: 0.1644 0.3356 0.0000
Na: 0.3356 0.8356 0.0000
Na: 0.6644 0.1644 0.0000
Na: 0.8356 0.6644 0.0000
Y: 0.0000 0.0000 0.5000
Y: 0.5000 0.5000 0.5000
Cu: 0.1194 0.6194 0.5000
Cu: 0.3806 0.1194 0.5000
Cu: 0.6194 0.8806 0.5000
Cu: 0.8806 0.3806 0.5000

## Properties
- Calculated volume: 23.7 Å³ per atom
- Mass density: 3.678 g cm⁻³
- Space-group type: P4/mbm, No. 127
- Energy relative to the elements: 244 meV/atom
- Total magnetization: 0.00 Bohr magnetons per cell
- Polymorph energy (0 for the lowest one): 127 meV/atom



# 2
NaYCu4: relaxed, PBE.

abc: 5.1793 5.1793 5.1793
angles: 60.00 60.00 60.00
Element x y z (fractional)
Na: 0.0000 0.0000 0.0000
Y: 0.2500 0.2500 0.2500
Cu: 0.1221 0.6260 0.6260
Cu: 0.6260 0.1221 0.6260
Cu: 0.6260 0.6260 0.1221
Cu: 0.6260 0.6260 0.6260

## Properties
- Calculated volume: 16.4 Å³ per atom
- Mass density: 6.188 g cm⁻³
- Space-group type: F-43m, No. 216
- Energy relative to the elements: -31 meV/atom
- Total magnetization: 0.00 Bohr magnetons per cell



# 3
Na2YCu: relaxed, PBE.

abc: 6.8815 6.8815 6.8815
angles: 100.04 100.04 130.65
Element x y z (fractional)
Na: 0.0586 0.6250 0.9336
Na: 0.3750 0.3086 0.4336
Na: 0.6914 0.1250 0.0664
Na: 0.8750 0.9414 0.5664
Y: 0.2500 0.7500 0.5000
Y: 0.5000 0.5000 0.0000
Cu: 0.0000 0.0000 0.0000
Cu: 0.7500 0.2500 0.5000

## Properties
- Calculated volume: 28.1 Å³ per atom
- Mass density: 2.933 g cm⁻³
- Space-group type: I-42d, No. 122
- Energy relative to the elements: 430 meV/atom
- Total magnetization: 0.00 Bohr magnetons per cell
- Polymorph energy (0 for the lowest one): 0 meV/atom



# 4
Na3YCu: relaxed, PBE.

abc: 6.5085 6.5085 6.5085
angles: 90.00 90.00 90.00
Element x y z (fractional)
Na: 0.0000 0.0000 0.5000
Na: 0.0000 0.5000 0.0000
Na: 0.5000 0.0000 0.0000
Y: 0.0000 0.0000 0.0000
Cu: 0.5000 0.5000 0.5000

## Properties
- Calculated volume: 55.1 Å³ per atom
- Mass density: 1.334 g cm⁻³
- Space-group type: Pm-3m, No. 221
- Energy relative to the elements: 1309 meV/atom
- Total magnetization: 1.93 Bohr magnetons per cell
- Polymorph energy (0 for the lowest one): 747 meV/atom



# 5
Na3YCu: relaxed, PBE.

abc: 5.3680 5.3680 5.3680
angles: 90.00 90.00 90.00
Element x y z (fractional)
Na: 0.0000 0.0000 0.5000
Na: 0.0000 0.5000 0.0000
Na: 0.5000 0.0000 0.0000
Y: 0.5000 0.5000 0.5000
Cu: 0.0000 0.0000 0.0000

## Properties
- Calculated volume: 30.9 Å³ per atom
- Mass density: 2.377 g cm⁻³
- Space-group type: Pm-3m, No. 221
- Energy relative to the elements: 562 meV/atom
- Total magnetization: 0.93 Bohr magnetons per cell
- Polymorph energy (0 for the lowest one): 0 meV/atom



# 6
Na2YCu: relaxed, PBE.

abc: 5.1820 5.1820 5.1820
angles: 60.00 60.00 60.00
Element x y z (fractional)
Na: 0.2500 0.2500 0.2500
Na: 0.7500 0.7500 0.7500
Y: 0.0000 0.0000 0.0000
Cu: 0.5000 0.5000 0.5000

## Properties
- Calculated volume: 24.6 Å³ per atom
- Mass density: 3.349 g cm⁻³
- Space-group type: Fm-3m, No. 225
- Energy relative to the elements: 525 meV/atom
- Total magnetization: 0.00 Bohr magnetons per cell
- Polymorph energy (0 for the lowest one): 96 meV/atom



# 7
Na2YCu2: relaxed, PBE.

abc: 7.4840 7.4840 7.4840
angles: 149.16 149.16 44.18
Element x y z (fractional)
Na: 0.2500 0.7500 0.5000
Na: 0.7500 0.2500 0.5000
Y: 0.0000 0.0000 0.0000
Cu: 0.4139 0.4139 0.0000
Cu: 0.5861 0.5861 0.0000

## Properties
- Calculated volume: 22.0 Å³ per atom
- Mass density: 3.960 g cm⁻³
- Space-group type: I4/mmm, No. 139
- Energy relative to the elements: 118 meV/atom
- Total magnetization: 0.00 Bohr magnetons per cell
- Polymorph energy (0 for the lowest one): 0 meV/atom



# 8
NaY2Cu2: relaxed, PBE.

abc: 8.3349 8.3349 3.3378
angles: 90.00 90.00 90.00
Element x y z (fractional)
Na: 0.0000 0.0000 0.0000
Na: 0.5000 0.5000 0.0000
Y: 0.1478 0.3522 0.0000
Y: 0.3522 0.8522 0.0000
Y: 0.6478 0.1478 0.0000
Y: 0.8522 0.6478 0.0000
Cu: 0.1393 0.6393 0.5000
Cu: 0.3607 0.1393 0.5000
Cu: 0.6393 0.8607 0.5000
Cu: 0.8607 0.3607 0.5000

## Properties
- Calculated volume: 23.2 Å³ per atom
- Mass density: 4.696 g cm⁻³
- Space-group type: P4/mbm, No. 127
- Energy relative to the elements: 55 meV/atom
- Total magnetization: 0.00 Bohr magnetons per cell
- Polymorph energy (0 for the lowest one): 120 meV/atom